Record 1
CaTlHAu GGA-PBE optimized geometry; energy above the lowest structure with this stoichiometry = 26 meV/atom; space group = R3m (160); VASP energy = -36.51 eV/cell
1.0
3.812 0.000 0.000
-1.906 3.301 0.000
0.000 0.000 21.071
Ca Tl H Au
3 3 3 3
Direct
0.000 0.000 0.000
0.333 0.667 0.667
0.667 0.333 0.333
0.000 0.000 0.474
0.333 0.667 0.141
0.667 0.333 0.807
0.000 0.000 0.698
0.333 0.667 0.364
0.667 0.333 0.031
0.000 0.000 0.233
0.333 0.667 0.900
0.667 0.333 0.566


Record 2
Tb2PrZn2Ge2 GGA-PBE optimized geometry; DFT formation energy = -0.4672 eV/atom; space group = R-3m (166); VASP energy = -29.09 eV/cell
1.0
2.086 1.204 11.314
-2.086 1.204 11.314
0.000 -2.409 11.314
Tb Pr Zn Ge
2 1 2 2
Direct
0.124 0.124 0.124
0.876 0.876 0.876
0.000 0.000 0.000
0.394 0.394 0.394
0.606 0.606 0.606
0.265 0.265 0.265
0.735 0.735 0.735